VASP calculation (PBE+U) on crystalline RbV2I3O13 at its relaxed geometry.

Space-group type   Ima2 (46)
Energy   -208.59 eV per cell

```
38
Lattice="-7.0174 5.2881 4.0692 7.0174 -5.2881 4.0692 7.0174 5.2881 -4.0692" Properties=species:S:1:pos:R:3 pbc="T T T"
Rb 3.5087 1.1538 0.0000
Rb 3.5087 4.1342 4.0692
V 1.8050 5.1071 -0.1609
V 5.2124 5.1071 -0.1609
V 1.8050 0.1810 3.9083
V 5.2124 0.1810 3.9083
I 6.8963 2.7037 -2.0334
I 7.1386 -2.5843 2.0359
I 0.1211 2.5843 2.0359
I 6.8963 2.5843 2.0359
I 3.5087 -2.3719 5.8921
I 3.5087 7.6600 1.8229
O 10.5262 1.7055 -0.5618
O 6.6221 1.7449 -0.5210
O 7.4127 -3.5432 3.5482
O 8.4059 3.6944 -1.5972
O 5.6290 -1.5936 2.4720
O 5.5846 4.0535 -1.7852
O 8.4503 -1.2345 2.2840
O 3.5087 -0.1543 3.2523
O 1.4328 1.2345 2.2840
O 5.5846 1.2345 2.2840
O 3.5087 5.4424 -0.8170
O -1.3884 1.5936 2.4720
O 8.4059 1.5936 2.4720
O 2.1237 3.8590 0.8787
O 4.8938 3.8590 0.8787
O 2.0877 -1.2999 5.2539
O 4.9297 -1.2999 5.2539
O 0.0000 5.2881 0.1917
O 0.0000 0.0000 4.2609
O 2.1237 1.4291 4.9479
O 4.8938 1.4291 4.9479
O 2.0877 6.5879 1.1847
O 4.9297 6.5879 1.1847
O -3.5087 3.5826 3.5075
O 0.3953 3.5432 3.5482
O 6.6221 3.5432 3.5482
```